Entry 1:
Compound: Tb2Tm2In7
Source: Alexandria
Functional: GGA-PBE
Structure: relaxed

Results
crystal system	orthorhombic
E	-3.360	eV/atom
formation energy from the elements	0.04	eV/atom

Lattice parameters (Å, degrees): 6.9149 7.2227 6.9149 90.00 102.32 90.00
With the nearest neighbours (Å) after each atom.
Positions (direct):
Tb (0.8165, 0.5000, 0.8165)  6 In 3.12-3.14, 1 Tb 3.18
Tb (0.1835, 0.5000, 0.1835)  6 In 3.12-3.14, 1 Tb 3.18
Tm (0.7047, 0.0000, 0.2953)  7 In 3.07-3.18
Tm (0.2953, 0.0000, 0.7047)  7 In 3.07-3.18
In (0.9998, 0.2924, 0.5003)  1 In 3.00, 2 Tm 3.07, 2 Tb 3.13-3.14
In (0.5003, 0.7076, 0.9998)  1 In 3.00, 2 Tm 3.07, 2 Tb 3.13-3.14
In (0.0002, 0.7076, 0.4997)  1 In 3.00, 2 Tm 3.07, 2 Tb 3.13-3.14
In (0.4997, 0.2924, 0.0002)  1 In 3.00, 2 Tm 3.07, 2 Tb 3.13-3.14
In (0.0000, 0.0000, 0.0000)  2 Tm 3.18
In (0.5002, 0.7040, 0.4998)  1 In 2.95, 2 Tm 3.07, 2 Tb 3.12
In (0.4998, 0.2960, 0.5002)  1 In 2.95, 2 Tm 3.07, 2 Tb 3.12

=====

Entry 2:
Compound: SrLaRe2
Source: Alexandria
Functional: GGA-PBE
Structure: relaxed

Results
distance to the lowest polymorph of the same formula	1.0286	eV per atom
crystal system	trigonal
E	-6.623	eV/atom
formation energy from the elements	1.25	eV/atom

Lattice parameters (Å, degrees): 11.2502 11.2502 11.2502 15.17 15.17 15.17
With the nearest neighbours (Å) after each atom.
Positions (direct):
La (0.7500, 0.7500, 0.7500)  6 La 2.97, 6 Re 3.29
Re (0.9990, 0.9990, 0.9990)  6 Re 2.97, 3 Sr 3.24, 3 La 3.29
Re (0.5010, 0.5010, 0.5010)  6 Re 2.97, 3 Sr 3.24, 3 La 3.29
Sr (0.2500, 0.2500, 0.2500)  6 Sr 2.97, 6 Re 3.24

=====

Entry 3:
Compound: VCdSeN2
Source: Alexandria
Functional: GGA-PBE
Structure: relaxed

Results
distance to the lowest polymorph of the same formula	1.7728	eV per atom
crystal system	tetragonal
E	-4.082	eV/atom
formation energy without anion corrections	1.95	eV/atom

Lattice parameters (Å, degrees): 4.1145 4.1145 5.6290 90.00 90.00 90.00
With the nearest neighbours (Å) after each atom.
Positions (direct):
N (0.0000, 0.5000, 0.0000)  2 Cd 2.06
N (0.5000, 0.0000, 0.0000)  2 Cd 2.06
V (0.5000, 0.5000, 0.5000)  4 Se 2.91
Se (0.0000, 0.0000, 0.5000)  2 Cd 2.81, 4 V 2.91
Cd (0.0000, 0.0000, 0.0000)  4 N 2.06

=====

Entry 4:
Compound: ZrCoTeI2
Source: Alexandria
Functional: GGA-PBE
Structure: relaxed

Results
distance to the lowest polymorph of the same formula	0.0263	eV per atom
crystal system	tetragonal
E	-3.924	eV/atom
formation energy without anion corrections	0.46	eV/atom

Lattice parameters (Å, degrees): 5.0448 5.0448 5.1394 90.00 90.00 90.00
With the nearest neighbours (Å) after each atom.
Positions (direct):
I (0.0000, 0.5000, 0.0000)  2 Co 2.52
I (0.5000, 0.0000, 0.0000)  2 Co 2.52
Te (0.0000, 0.0000, 0.5000)  2 Co 2.57
Co (0.0000, 0.0000, 0.0000)  4 I 2.52, 2 Te 2.57
Zr (0.5000, 0.5000, 0.5000)  4 Te 3.57, 8 I 3.60

=====

Entry 5:
Compound: RbRh2Au
Source: Alexandria
Functional: GGA-PBE
Structure: relaxed

Results
distance to the lowest polymorph of the same formula	0.2941	eV per atom
crystal system	cubic
E	-3.774	eV/atom
formation energy from the elements	0.96	eV/atom

Lattice parameters (Å, degrees): 4.8007 4.8007 4.8007 60.00 60.00 60.00
With the nearest neighbours (Å) after each atom.
Positions (direct):
Rh (0.2500, 0.2500, 0.2500)  4 Rb 2.94, 4 Au 2.94
Rh (0.7500, 0.7500, 0.7500)  4 Rb 2.94, 4 Au 2.94
Au (0.5000, 0.5000, 0.5000)  8 Rh 2.94
Rb (0.0000, 0.0000, 0.0000)  8 Rh 2.94

=====

Entry 6:
Compound: BiBAs
Source: Alexandria
Functional: GGA-PBE
Structure: relaxed

Results
crystal system	triclinic
E	-4.640	eV/atom
formation energy from the elements	0.43	eV/atom

Lattice parameters (Å, degrees): 6.1852 6.1225 8.1895 116.63 110.84 31.84
With the nearest neighbours (Å) after each atom.
Positions (direct):
Bi (0.9154, 0.1662, 0.4391)  2 B 2.60-2.67, 1 As 2.80
Bi (0.5751, 0.3119, 0.9951)  1 B 2.57, 1 As 2.77
As (0.6975, 0.9180, 0.4500)  1 B 1.94
As (0.3695, 0.0200, 0.9333)  2 B 2.04
B (0.7414, 0.1645, 0.6836)  1 B 1.64
B (0.8389, 0.3719, 0.7986)  1 B 1.64

=====

Entry 7:
Compound: Tl2ZnHgI
Source: Alexandria
Functional: GGA-PBE
Structure: relaxed

Results
distance to the lowest polymorph of the same formula	0.3779	eV per atom
crystal system	tetragonal
E	-1.305	eV/atom
formation energy without anion corrections	0.27	eV/atom

Lattice parameters (Å, degrees): 6.5353 7.4126 6.5353 90.00 90.00 90.00
With the nearest neighbours (Å) after each atom.
Positions (direct):
I (0.0000, 0.0000, 0.0000)  4 Tl 3.27
Zn (0.5000, 0.5000, 0.5000)  4 Hg 4.62, 8 Tl 4.94
Tl (0.0000, 0.0000, 0.5000)  2 I 3.27
Tl (0.5000, 0.0000, 0.0000)  2 I 3.27
Hg (0.0000, 0.5000, 0.0000)  2 I 3.71

=====

Entry 8:
Compound: ZrTcW2
Source: Alexandria
Functional: GGA-PBE
Structure: relaxed

Results
distance to the lowest polymorph of the same formula	0.1053	eV per atom
crystal system	monoclinic
E	-11.183	eV/atom
formation energy from the elements	0.02	eV/atom

Lattice parameters (Å, degrees): 4.5756 2.8520 5.2781 78.78 90.00 90.00
With the nearest neighbours (Å) after each atom.
Positions (direct):
Tc (0.5000, 0.7500, 0.7500)  2 Zr 2.74, 4 W 2.78, 2 Tc 2.85
W (0.0000, 0.9901, 0.9954)  4 W 2.72-2.85, 2 Tc 2.78, 2 Zr 2.82
W (0.0000, 0.5099, 0.5046)  4 W 2.72-2.85, 2 Tc 2.78, 2 Zr 2.82
Zr (0.5000, 0.2500, 0.2500)  2 Tc 2.74, 4 W 2.82, 2 Zr 2.85

=====

Entry 9:
Compound: CaEuMgSbO6
Source: Alexandria
Functional: GGA-PBE
Structure: relaxed

Results
crystal system	cubic
E	-7.074	eV/atom
formation energy without anion corrections	-2.30	eV/atom

Lattice parameters (Å, degrees): 5.6244 5.6244 5.6244 60.00 60.00 60.00
With the nearest neighbours (Å) after each atom.
Positions (direct):
Ca (0.7500, 0.7500, 0.7500)  12 O 2.81
Eu (0.2500, 0.2500, 0.2500)  12 O 2.81
Mg (0.0000, 0.0000, 0.0000)  6 O 2.01
Sb (0.5000, 0.5000, 0.5000)  6 O 1.97
O (0.2526, 0.7474, 0.2526)  1 Sb 1.97, 1 Mg 2.01
O (0.7474, 0.2526, 0.7474)  1 Sb 1.97, 1 Mg 2.01
O (0.2526, 0.7474, 0.7474)  1 Sb 1.97, 1 Mg 2.01
O (0.7474, 0.2526, 0.2526)  1 Sb 1.97, 1 Mg 2.01
O (0.2526, 0.2526, 0.7474)  1 Sb 1.97, 1 Mg 2.01
O (0.7474, 0.7474, 0.2526)  1 Sb 1.97, 1 Mg 2.01

=====

Entry 10:
Compound: Pa2ReO
Source: Alexandria
Functional: GGA-PBE
Structure: relaxed

Results
distance to the lowest polymorph of the same formula	0.2509	eV per atom
crystal system	trigonal
E	-9.754	eV/atom
formation energy without anion corrections	-0.65	eV/atom

Lattice parameters (Å, degrees): 3.1349 3.1349 8.7685 79.70 79.70 60.00
With the nearest neighbours (Å) after each atom.
Positions (direct):
Re (0.0000, 0.0000, 0.0000)  2 Pa 2.55
Pa (0.0990, 0.0990, 0.7029)  3 O 2.51, 1 Re 2.55
Pa (0.9010, 0.9010, 0.2971)  3 O 2.51, 1 Re 2.55
O (0.5000, 0.5000, 0.5000)  6 Pa 2.51

=====

Entry 11:
Compound: AgGeTe3
Source: Alexandria
Functional: GGA-PBE
Structure: relaxed

Results
distance to the lowest polymorph of the same formula	0.1525	eV per atom
crystal system	orthorhombic
E	-3.197	eV/atom
formation energy without anion corrections	0.18	eV/atom

Lattice parameters (Å, degrees): 7.7070 7.7070 7.7070 77.42 127.20 127.81
With the nearest neighbours (Å) after each atom.
Positions (direct):
Ag (0.5799, 0.8361, 0.2437)  2 Ge 2.53-2.55, 2 Te 2.72-2.73
Ag (0.5924, 0.3361, 0.7563)  2 Ge 2.53-2.55, 2 Te 2.72-2.73
Ge (0.4027, 0.9956, 0.9070)  2 Ag 2.53-2.55, 1 Te 2.72
Ge (0.0886, 0.4956, 0.0930)  2 Ag 2.53-2.55, 1 Te 2.72
Te (0.0597, 0.3165, 0.7652)  1 Ge 2.97
Te (0.0597, 0.7945, 0.2432)  1 Ge 2.97
Te (0.5513, 0.8165, 0.7568)  1 Ge 2.97
Te (0.0925, 0.2156, 0.3769)  1 Ge 2.72, 2 Ag 2.72-2.73
Te (0.5513, 0.2945, 0.2348)  1 Ge 2.97
Te (0.8386, 0.7156, 0.6231)  1 Ge 2.72, 2 Ag 2.72-2.73

=====

Entry 12:
Compound: AcCu3Se3
Source: Alexandria
Functional: GGA-PBE
Structure: relaxed

Results
crystal system	trigonal
E	-4.590	eV/atom
formation energy without anion corrections	-0.75	eV/atom

Lattice parameters (Å, degrees): 7.1871 7.1871 8.1901 63.97 63.97 60.00
With the nearest neighbours (Å) after each atom.
Positions (direct):
Ac (0.3335, 0.3335, 0.9995)  6 Se 3.09-3.10
Ac (0.6665, 0.6665, 0.0005)  6 Se 3.09-3.10
Cu (0.4750, 0.7688, 0.6262)  4 Se 2.46-2.56
Cu (0.7688, 0.1300, 0.6262)  4 Se 2.46-2.56
Cu (0.1300, 0.4750, 0.6262)  4 Se 2.46-2.56
Cu (0.8700, 0.5250, 0.3738)  4 Se 2.46-2.56
Cu (0.2312, 0.8700, 0.3738)  4 Se 2.46-2.56
Cu (0.5250, 0.2312, 0.3738)  4 Se 2.46-2.56
Se (0.2299, 0.5892, 0.2692)  4 Cu 2.46-2.56
Se (0.9117, 0.2299, 0.2692)  4 Cu 2.46-2.56
Se (0.5892, 0.9117, 0.2692)  4 Cu 2.46-2.56
Se (0.4108, 0.0883, 0.7308)  4 Cu 2.46-2.56
Se (0.0883, 0.7701, 0.7308)  4 Cu 2.46-2.56
Se (0.7701, 0.4108, 0.7308)  4 Cu 2.46-2.56